Record 1
Entry from Alexandria: PbI2Br8 after structural relaxation (PBE-GGA).

Values from the calculation:
- M_tot (μB per cell) = 0.00
- E_form (uncorrected) (eV per atom) = -0.186

abc: 18.7900 8.9166 13.2467
angles: 90.00 108.48 90.00
Space group C2/c (No. 15)
Asymmetric unit:
Pb: 0.0000 0.0931 0.2500
I: 0.1507 0.2790 0.5590
Br: 0.0457 0.2528 0.6982
Br: 0.1013 0.2571 0.1944
Br: 0.1016 0.0082 0.4607
Br: 0.2104 0.4688 0.1514

***

Record 2
Entry from Alexandria: Pb2I2Br after structural relaxation (PBE-GGA).

Values from the calculation:
- M_tot (μB per cell) = 0.00
- E_form (uncorrected) (eV per atom) = -0.473

abc: 8.3989 8.3989 4.9717
angles: 90.00 90.00 90.00
Space group P4/mbm (No. 127)
Asymmetric unit:
Pb: 0.1520 0.3480 0.0000
I: 0.1625 0.6625 0.5000
Br: 0.0000 0.0000 0.0000

***

Record 3
Entry from Alexandria: PbIBr after structural relaxation (PBE-GGA).

Values from the calculation:
- polymorph energy (0 for the lowest one) (meV per atom) = 0
- M_tot (μB per cell) = 0.00
- E_form (uncorrected) (eV per atom) = -0.782

abc: 4.5593 7.9341 7.9368
angles: 112.30 90.08 90.01
Space group P-1 (No. 2)
Asymmetric unit:
Pb: 0.2500 0.2437 0.4976
I: 0.2494 0.4864 0.2435
Br: 0.2507 0.0033 0.7244

***

Record 4
Entry from Alexandria: Pb6I5Br7 after structural relaxation (PBE-GGA).

Values from the calculation:
- M_tot (μB per cell) = 0.00
- E_form (uncorrected) (eV per atom) = -0.775

abc: 14.0860 10.0794 10.8209
angles: 90.00 90.00 90.00
Space group Amm2 (No. 38)
Asymmetric unit:
Pb: 0.0000 0.0000 0.0000
Pb: 0.1600 0.0000 0.5200
Pb: 0.3326 0.0000 0.0187
Pb: 0.5000 0.0000 0.5181
I: 0.0000 0.0000 0.3060
I: 0.3290 0.0000 0.3186
I: 0.3319 0.0000 0.7206
Br: 0.0000 0.0000 0.7151
Br: 0.1653 0.1965 0.0133
Br: 0.5000 0.1953 0.0200

***

Record 5
Entry from Alexandria: Pb6I7Br5 after structural relaxation (PBE-GGA).

Values from the calculation:
- M_tot (μB per cell) = 0.00
- E_form (uncorrected) (eV per atom) = -0.726

abc: 14.1999 10.9412 10.2051
angles: 90.00 90.00 90.00
Space group Amm2 (No. 38)
Asymmetric unit:
Pb: 0.0000 0.0000 0.0000
Pb: 0.1658 0.0000 0.4993
Pb: 0.3268 0.0000 0.9975
Pb: 0.5000 0.0000 0.5182
I: 0.0000 0.2034 0.4972
I: 0.3320 0.2020 0.5099
I: 0.5000 0.0000 0.2024
Br: 0.1611 0.0000 0.8012
Br: 0.1662 0.0000 0.1961
Br: 0.5000 0.0000 0.8143

***

Record 6
Entry from Alexandria: Pb4I3Br4 after structural relaxation (PBE-GGA).

Values from the calculation:
- M_tot (μB per cell) = 0.00
- E_form (uncorrected) (eV per atom) = -0.648

abc: 4.2279 9.9583 17.7959
angles: 90.00 90.00 90.00
Space group Immm (No. 71)
Asymmetric unit:
Pb: 0.0000 0.0000 0.2458
Pb: 0.0000 0.2409 0.5000
I: 0.0000 0.0000 0.0000
I: 0.0000 0.5000 0.1079
Br: 0.0000 0.3118 0.3296

***

Please write out number 4 again, unchanged.
Entry from Alexandria: Pb6I5Br7 after structural relaxation (PBE-GGA).

Values from the calculation:
- M_tot (μB per cell) = 0.00
- E_form (uncorrected) (eV per atom) = -0.775

abc: 14.0860 10.0794 10.8209
angles: 90.00 90.00 90.00
Space group Amm2 (No. 38)
Asymmetric unit:
Pb: 0.0000 0.0000 0.0000
Pb: 0.1600 0.0000 0.5200
Pb: 0.3326 0.0000 0.0187
Pb: 0.5000 0.0000 0.5181
I: 0.0000 0.0000 0.3060
I: 0.3290 0.0000 0.3186
I: 0.3319 0.0000 0.7206
Br: 0.0000 0.0000 0.7151
Br: 0.1653 0.1965 0.0133
Br: 0.5000 0.1953 0.0200